1.
The following is a PBE-GGA calculation of a relaxed structure of NdY2Se, from the Alexandria database.

Unit cell a=9.811 b=9.811 c=9.811 alpha=22.47 beta=22.47 gamma=22.47
Fractional coordinates of all 4 atoms:
Nd: 0.000 0.000 0.000
Y: 0.230 0.230 0.230
Y: 0.436 0.436 0.436
Se: 0.833 0.833 0.833

Properties
As for the uncorrected formation energy: -0.8293 eV per atom. For the energy above the lowest structure with this stoichiometry, the calculation gives 0 meV per atom. For the volume, the calculation gives 30.26 Å³ per atom. The symmetry is R3m (160).

=====

2.
The following is a PBE-GGA calculation of a relaxed structure of NdY3Se4, from the Alexandria database.

Unit cell a=13.760 b=13.760 c=13.760 alpha=17.18 beta=17.18 gamma=17.18
Fractional coordinates of all 8 atoms:
Nd: 0.000 0.000 0.000
Y: 0.249 0.249 0.249
Y: 0.500 0.500 0.500
Y: 0.751 0.751 0.751
Se: 0.126 0.126 0.126
Se: 0.378 0.378 0.378
Se: 0.622 0.622 0.622
Se: 0.874 0.874 0.874

Properties
As for the uncorrected formation energy: -1.7836 eV per atom. For the energy above the lowest structure with this stoichiometry, the calculation gives 0 meV per atom. For the volume, the calculation gives 24.78 Å³ per atom. The symmetry is R-3m (166).